Here is a relaxed FeW2Se crystal from Alexandria via LeMat-Bulk. Energies are from GGA-PBE.

Summary:
Formation energy from raw total energies (eV per atom): 1.09
Total moment (μB/cell): 0.0
Calculated volume (A^3/atom): 20.6
Total DFT energy (no corrections) (eV per atom): -8.3689

a = 5.3973 Å, b = 5.3973 Å, c = 11.3414 Å
α = 90.00°, β = 90.00°, γ = 90.00°
Last column: nearest neighbours and their distance in Å.
Space group I-42d (No. 122)
Symmetry-distinct sites (fractional):
Fe: 0.0000 0.0000 0.0000 (multiplicity 4)  4 W 2.26
W: 0.2104 0.2500 0.1250 (multiplicity 8)  2 Fe 2.26, 2 Se 2.50
Se: 0.0000 0.0000 0.5000 (multiplicity 4)  4 W 2.50